(1)
DFT (PBE) results for a geometry-optimized Y2BeCrN structure.

a b c (Å): 5.288 5.288 3.601
angles (deg): 90.00 90.00 90.00
Space group P4/mmm (No. 123)
Asymmetric unit:
Y 0.000 0.500 0.000 (multiplicity 2)
Be 0.000 0.000 0.500 (multiplicity 1)
Cr 0.500 0.500 0.000 (multiplicity 1)
N 0.500 0.500 0.500 (multiplicity 1)

(2)
DFT (PBE) results for a geometry-optimized Dy2Tm6Sc3 structure.

Computed properties:
energy relative to the elements = 47 meV per atom

a b c (Å): 3.4487 3.4487 91.9212
angles (deg): 90.00 90.00 120.00
Space group R-3m (No. 166, hexagonal axes)
Asymmetric unit:
Dy 0.0000 0.0000 0.0468 (multiplicity 6)
Tm 0.0000 0.0000 0.1372 (multiplicity 6)
Tm 0.0000 0.0000 0.3179 (multiplicity 6)
Tm 0.0000 0.0000 0.4117 (multiplicity 6)
Sc 0.0000 0.0000 0.2257 (multiplicity 6)
Sc 0.0000 0.0000 0.5000 (multiplicity 3)

(3)
DFT (PBE) results for a geometry-optimized Dy6SbTe3As2 structure.

a b c (Å): 18.801 4.252 8.639
angles (deg): 90.00 104.27 90.00
Space group C2/m (No. 12)
Asymmetric unit:
Dy 0.012 0.000 0.251 (multiplicity 4)
Dy 0.168 0.500 0.111 (multiplicity 4)
Dy 0.175 0.500 0.568 (multiplicity 4)
Sb 0.000 0.500 0.000 (multiplicity 2)
Te 0.000 0.500 0.500 (multiplicity 2)
Te 0.163 0.000 0.833 (multiplicity 4)
As 0.168 0.000 0.336 (multiplicity 4)

Number 1: electronic total energy -32.18 eV for the cell shown. Number 2: electronic total energy -163.54 eV for the cell shown. Number 3: electronic total energy -134.71 eV for the cell shown.